Li2ScBr | Alexandria | GGA-PBE | optimized geometry; space group = No. 12; total moment = 0.003 μB per formula unit; formation energy (no corrections) = -0.2621 eV/atom; excess energy over the best structure of this formula in the dataset = 200 meV/atom
1.0
-3.044 -0.092 4.831
-2.320 -0.681 -5.173
0.458 -3.341 0.230
Br Li Sc
1 2 1
Direct
0.000 0.500 0.500
0.000 0.000 0.000
0.500 0.500 0.000
0.500 0.000 0.500

Li2Sc2Br7 | Alexandria | GGA-PBE | optimized geometry; space group = No. 12; total moment = 1.032 μB per formula unit; formation energy (no corrections) = -1.5070 eV/atom
1.0
7.029 0.304 0.439
-0.461 7.568 -0.338
-0.461 -2.974 6.968
Li Sc Br
2 2 7
Direct
0.500 0.262 0.738
0.500 0.738 0.262
0.886 0.307 0.307
0.114 0.693 0.693
0.281 0.925 0.562
0.719 0.438 0.075
0.719 0.075 0.438
0.281 0.562 0.925
0.000 0.000 0.000
0.752 0.609 0.609
0.248 0.391 0.391

Li2ScBr | Alexandria | GGA-PBE | optimized geometry; space group = No. 71; total moment = 0.000 μB per formula unit; formation energy (no corrections) = -0.2887 eV/atom; excess energy over the best structure of this formula in the dataset = 173 meV/atom
1.0
-1.846 -1.635 5.557
-4.816 -3.624 0.802
5.566 0.884 -2.281
Br Li Sc
1 2 1
Direct
0.250 0.750 0.500
0.033 0.033 0.000
0.467 0.467 0.000
0.750 0.250 0.500

LiScBr2 | Alexandria | GGA-PBE | optimized geometry; space group = No. 8; total moment = 0.000 μB per formula unit; formation energy (no corrections) = -1.0247 eV/atom; excess energy over the best structure of this formula in the dataset = 46 meV/atom
1.0
-0.352 6.718 0.360
-3.403 5.408 2.136
1.844 -0.064 3.120
Br Li Sc
2 1 1
Direct
0.968 0.968 0.125
0.715 0.715 0.626
0.507 0.507 0.624
0.309 0.309 0.125

LiScBr2 | Alexandria | GGA-PBE | optimized geometry; space group = No. 12; total moment = 0.629 μB per formula unit; formation energy (no corrections) = -0.8802 eV/atom; excess energy over the best structure of this formula in the dataset = 190 meV/atom
1.0
5.825 0.079 -0.005
-0.007 5.826 -0.005
1.484 1.506 2.970
Br Li Sc
2 1 1
Direct
0.000 0.000 0.000
0.500 0.500 0.000
0.500 0.000 0.500
0.000 0.500 0.500

Li2ScBr5 | Alexandria | GGA-PBE | optimized geometry; space group = No. 63; total moment = 0.000 μB per formula unit; formation energy (no corrections) = -1.5601 eV/atom; excess energy over the best structure of this formula in the dataset = 5 meV/atom
1.0
5.291 0.000 0.000
-2.645 6.728 0.000
0.000 0.000 13.272
Li Sc Br
4 2 10
Direct
0.841 0.683 0.459
0.841 0.683 0.041
0.159 0.317 0.541
0.159 0.317 0.959
0.809 0.618 0.750
0.191 0.382 0.250
0.950 0.899 0.881
0.950 0.899 0.619
0.320 0.640 0.411
0.320 0.640 0.089
0.730 0.460 0.250
0.270 0.540 0.750
0.680 0.360 0.589
0.680 0.360 0.911
0.050 0.101 0.119
0.050 0.101 0.381

Li2ScBr | Alexandria | GGA-PBE | optimized geometry; space group = No. 119; total moment = 0.000 μB per formula unit; formation energy (no corrections) = -0.2126 eV/atom; excess energy over the best structure of this formula in the dataset = 249 meV/atom
1.0
-2.576 -4.166 -3.025
3.015 -3.279 -3.647
0.307 1.872 5.435
Br Li Sc
1 2 1
Direct
0.750 0.250 0.500
0.000 0.000 0.000
0.250 0.750 0.500
0.500 0.500 0.000

Li2ScBr | Alexandria | GGA-PBE | optimized geometry; space group = No. 8; total moment = 0.403 μB per formula unit; formation energy (no corrections) = -0.3347 eV/atom; excess energy over the best structure of this formula in the dataset = 127 meV/atom
1.0
-3.740 0.628 3.838
-3.934 -2.478 2.737
1.547 -1.933 5.181
Br Li Sc
1 2 1
Direct
0.276 0.276 0.372
0.949 0.949 0.968
0.733 0.733 0.767
0.543 0.543 0.393

Li2ScBr | Alexandria | GGA-PBE | optimized geometry; space group = No. 10; total moment = 0.424 μB per formula unit; formation energy (no corrections) = -0.2576 eV/atom; excess energy over the best structure of this formula in the dataset = 204 meV/atom
1.0
-2.264 2.359 -0.468
-1.812 -2.466 -3.661
-4.522 -4.090 1.257
Br Li Sc
1 2 1
Direct
0.000 0.000 0.500
0.000 0.000 0.000
0.500 0.500 0.000
0.500 0.500 0.500

LiSc3Br | Alexandria | GGA-PBE | optimized geometry; space group = No. 221; total moment = 0.000 μB per formula unit; formation energy (no corrections) = 0.0708 eV/atom; excess energy over the best structure of this formula in the dataset = 0 meV/atom
1.0
5.062 0.000 0.000
0.000 5.062 0.000
0.000 0.000 5.062
Sc Br Li
3 1 1
Direct
0.000 0.500 0.000
0.000 0.000 0.500
0.500 0.000 0.000
0.000 0.000 0.000
0.500 0.500 0.500

Li2ScBr5 | Alexandria | GGA-PBE | optimized geometry; space group = No. 8; total moment = 0.000 μB per formula unit; formation energy (no corrections) = -1.5654 eV/atom; excess energy over the best structure of this formula in the dataset = 0 meV/atom
1.0
-3.724 -2.069 -5.275
-5.234 -5.511 0.683
-7.078 2.590 -1.193
Li Sc Br
2 1 5
Direct
0.596 0.602 0.041
0.596 0.041 0.602
0.968 0.021 0.021
0.520 0.269 0.269
0.089 0.329 0.831
0.089 0.831 0.329
0.412 0.765 0.765
0.730 0.921 0.921

LiScBr2 | Alexandria | GGA-PBE | optimized geometry; space group = No. 166; total moment = 0.000 μB per formula unit; formation energy (no corrections) = -1.0705 eV/atom; excess energy over the best structure of this formula in the dataset = 0 meV/atom
1.0
-4.487 5.521 3.459
-6.537 2.591 3.624
-3.984 3.130 6.075
Br Li Sc
2 1 1
Direct
0.991 0.991 0.991
0.509 0.509 0.509
0.250 0.250 0.250
0.750 0.750 0.750

LiScSeBr2 | Alexandria | GGA-PBE | optimized geometry; space group = No. 123; total moment = 0.000 μB per formula unit; formation energy (no corrections) = -0.7051 eV/atom; excess energy over the best structure of this formula in the dataset = 547 meV/atom
1.0
4.666 0.000 0.000
0.000 4.666 0.000
0.000 0.000 5.262
Sc Se Br Li
1 1 2 1
Direct
0.500 0.500 0.500
0.000 0.000 0.500
0.000 0.500 0.000
0.500 0.000 0.000
0.000 0.000 0.000

LiScSeBr2 | Alexandria | GGA-PBE | optimized geometry; space group = No. 123; total moment = 0.000 μB per formula unit; formation energy (no corrections) = -1.2525 eV/atom; excess energy over the best structure of this formula in the dataset = 0 meV/atom
1.0
-1.003 5.214 -0.842
-5.114 -1.172 -1.170
-1.265 0.559 4.970
Sc Se Br Li
1 1 2 1
Direct
0.000 0.000 0.000
0.000 0.000 0.500
0.000 0.500 0.000
0.500 0.000 0.000
0.500 0.500 0.500

LiScSnBr6 | Alexandria | GGA-PBE | optimized geometry; space group = No. 163; total moment = 0.000 μB per formula unit; formation energy (no corrections) = -1.3273 eV/atom
1.0
6.958 0.000 0.000
-3.479 6.025 0.000
0.000 0.000 12.934
Li Sc Sn Br
2 2 2 12
Direct
0.333 0.667 0.250
0.667 0.333 0.750
0.667 0.333 0.250
0.333 0.667 0.750
0.000 0.000 0.000
0.000 0.000 0.500
0.647 0.639 0.132
0.992 0.353 0.132
0.353 0.992 0.632
0.008 0.647 0.868
0.361 0.353 0.368
0.992 0.639 0.368
0.639 0.992 0.868
0.647 0.008 0.368
0.008 0.361 0.632
0.361 0.008 0.132
0.639 0.647 0.632
0.353 0.361 0.868

LiSc2TcBr | Alexandria | GGA-PBE | optimized geometry; space group = No. 123; total moment = 0.000 μB per formula unit; formation energy (no corrections) = 0.2571 eV/atom
1.0
4.955 0.000 0.000
0.000 5.313 0.000
0.000 0.000 4.955
Sc Tc Br Li
2 1 1 1
Direct
0.000 0.000 0.500
0.500 0.000 0.000
0.000 0.000 0.000
0.000 0.500 0.000
0.500 0.500 0.500

LiSc2TeBr | Alexandria | GGA-PBE | optimized geometry; space group = No. 123; total moment = 2.438 μB per formula unit; formation energy (no corrections) = -0.1727 eV/atom
1.0
-1.619 -1.815 4.921
4.716 0.063 1.574
-0.637 5.180 1.701
Sc Te Br Li
2 1 1 1
Direct
0.000 0.000 0.500
0.500 0.000 0.000
0.000 0.000 0.000
0.500 0.500 0.500
0.000 0.500 0.000

LiScW2Br | Alexandria | GGA-PBE | optimized geometry; space group = No. 123; total moment = 0.000 μB per formula unit; formation energy (no corrections) = 1.4967 eV/atom
1.0
4.650 0.000 0.000
0.000 4.976 0.000
0.000 0.000 4.650
Sc Br W Li
1 1 2 1
Direct
0.000 0.500 0.000
0.000 0.000 0.000
0.000 0.000 0.500
0.500 0.000 0.000
0.500 0.500 0.500

LiZrScBr2 | Alexandria | GGA-PBE | optimized geometry; space group = No. 123; total moment = 1.567 μB per formula unit; formation energy (no corrections) = 0.0420 eV/atom
1.0
-2.520 4.470 1.433
-2.292 -2.731 4.486
4.182 1.399 2.989
Sc Br Zr Li
1 2 1 1
Direct
0.000 0.500 0.000
0.000 0.000 0.500
0.500 0.000 0.000
0.000 0.000 0.000
0.500 0.500 0.500

LiSe2Br | Alexandria | GGA-PBE | optimized geometry; space group = No. 139; total moment = 0.000 μB per formula unit; formation energy (no corrections) = -0.3802 eV/atom; excess energy over the best structure of this formula in the dataset = 258 meV/atom
1.0
-4.555 0.623 1.718
0.446 -3.799 -3.075
-1.193 -4.047 2.489
Br Li Se
1 1 2
Direct
0.500 0.000 0.500
0.000 0.500 0.500
0.000 0.000 0.000
0.500 0.500 0.000